No. 1
First-principles (GGA+U) data for an optimized crystal structure of RbCrPO6, as listed in Alexandria via LeMat-Bulk.

abc: 4.7995 4.7995 6.3866
angles: 90.00 90.00 120.00
Last column: nearest neighbours and their distance in Å.
Sites, in units of the cell vectors:
Rb1 0.0000 0.0000 0.0000  6 O 2.84-2.95
Cr1 0.3333 0.6667 0.5118  6 O 1.79-1.93
P1 0.6667 0.3333 0.4692  6 O 1.67-1.77
O1 0.3962 0.0254 0.6399  1 P 1.77, 1 Cr 1.79
O2 0.4068 0.3916 0.3284  1 P 1.67
O3 0.6084 0.0152 0.3284  1 P 1.67
O4 0.6293 0.6038 0.6399  1 P 1.77, 1 Cr 1.79
O5 0.9746 0.3707 0.6399  1 P 1.77, 1 Cr 1.79
O6 0.9848 0.5932 0.3284  1 P 1.67

Values from the calculation:
**E_tot**: -6.35 eV per atom

***

No. 2
First-principles (GGA+U) data for an optimized crystal structure of RbCrPO4, as listed in Alexandria via LeMat-Bulk.

abc: 5.3748 5.7310 7.4290
angles: 90.00 107.18 90.00
Last column: nearest neighbours and their distance in Å.
Sites, in units of the cell vectors:
Rb1 0.2008 0.2500 0.4317  6 O 2.78-3.05
Rb2 0.7992 0.7500 0.5683  6 O 2.78-3.05
Cr1 0.2673 0.2500 0.9570  2 O 2.06-2.21
Cr2 0.7327 0.7500 0.0430  2 O 2.06-2.21
P1 0.2595 0.7500 0.1523  4 O 1.56-1.57
P2 0.7405 0.2500 0.8477  4 O 1.56-1.57
O1 0.0586 0.7500 0.9516  1 P 1.56
O2 0.0862 0.7500 0.2887  1 P 1.57
O3 0.4443 0.5344 0.1798  1 P 1.56
O4 0.4443 0.9656 0.1798  1 P 1.56
O5 0.5557 0.0344 0.8202  1 P 1.56
O6 0.5557 0.4656 0.8202  1 P 1.56
O7 0.9138 0.2500 0.7113  1 P 1.57
O8 0.9414 0.2500 0.0484  1 P 1.56

Values from the calculation:
**E_tot**: -6.88 eV per atom

***

No. 3
First-principles (GGA+U) data for an optimized crystal structure of RbCrPO2, as listed in Alexandria via LeMat-Bulk.

abc: 4.2163 4.2163 6.7970
angles: 90.00 90.00 90.00
Last column: nearest neighbours and their distance in Å.
Sites, in units of the cell vectors:
Rb1 0.0000 0.0000 0.0000  4 O 2.11
Cr1 0.5000 0.5000 0.5000  4 P 2.98
P1 0.0000 0.0000 0.5000  4 Cr 2.98
O1 0.0000 0.5000 0.0000  2 Rb 2.11
O2 0.5000 0.0000 0.0000  2 Rb 2.11

Values from the calculation:
**Energy relative to the lowest polymorph listed for this composition**: 1510 meV per atom

***

No. 4
First-principles (GGA+U) data for an optimized crystal structure of RbCrPO2, as listed in Alexandria via LeMat-Bulk.

abc: 4.1206 4.1206 4.8059
angles: 90.00 90.00 90.00
Last column: nearest neighbours and their distance in Å.
Sites, in units of the cell vectors:
Rb1 0.0000 0.0000 0.0000  4 P 2.91, 8 O 3.17
Cr1 0.5000 0.5000 0.5000  4 O 2.06
P1 0.5000 0.5000 0.0000  2 Cr 2.40
O1 0.0000 0.5000 0.5000  2 Cr 2.06
O2 0.5000 0.0000 0.5000  2 Cr 2.06

Values from the calculation:
**Energy relative to the lowest polymorph listed for this composition**: 0 meV per atom